Compound: CaSmCd17
Source: the Alexandria database
Functional: PBE
Structure: optimized geometry

## Properties
The value obtained for the raw total energy is -1.306 eV per atom. The calculation puts the volume at 445 Å³/f.u.

```
CaSmCd17
1.0
5.0587 2.9206 5.0222
-5.0587 2.9206 5.0222
0.0000 -5.8413 5.0222
Ca Sm Cd
1 1 17
direct
0.0000 0.0000 0.0000
0.6626 0.6626 0.6626
0.0311 0.3344 0.6359
0.0311 0.6359 0.3344
0.2010 0.6820 0.6820
0.2392 0.2392 0.2392
0.3189 0.3189 0.8522
0.3189 0.8522 0.3189
0.3344 0.0311 0.6359
0.3344 0.6359 0.0311
0.4373 0.4373 0.4373
0.5301 0.9619 0.9619
0.6359 0.0311 0.3344
0.6359 0.3344 0.0311
0.6820 0.2010 0.6820
0.6820 0.6820 0.2010
0.8522 0.3189 0.3189
0.9619 0.5301 0.9619
0.9619 0.9619 0.5301
```

***

Compound: LiTl2GeRu
Source: the Alexandria database
Functional: PBE
Structure: optimized geometry

## Properties
The value obtained for the raw total energy is -3.201 eV per atom. The calculation puts the volume at 109 Å³/f.u.

```
LiTl2GeRu
1.0
4.9479 0.0000 0.0000
0.0000 4.9479 0.0000
0.0000 0.0000 4.4721
Li Tl Ge Ru
1 2 1 1
direct
0.0000 0.0000 0.0000
0.0000 0.5000 0.0000
0.5000 0.0000 0.0000
0.0000 0.0000 0.5000
0.5000 0.5000 0.5000
```